No. 1
Here is a relaxed MgTc4Mo crystal from the Alexandria database. Energies are from GGA-PBE.

- ρ: 8.898 g cm⁻³
- Calculated volume: 15.93 Å³/atom
- Magnetic moment: 0.0 μB/f.u.
- Energy of formation: 0.177 eV/atom

The structure in POSCAR format:
```
MgTc4Mo
1.0
2.3045 -2.3670 -3.9278
1.6636 -4.8260 0.5312
-2.3905 -3.8229 -2.4519
Mg Tc Mo
1 4 1
Direct
0.2500 0.2500 0.2500 Mg
0.6246 0.6246 0.1263 Tc
0.6246 0.1263 0.6246 Tc
0.6246 0.6246 0.6246 Tc
0.1263 0.6246 0.6246 Tc
0.0000 0.0000 0.0000 Mo
```



No. 2
Here is a relaxed La2RuBr crystal from the Alexandria database. Energies are from GGA-PBE.

- ρ: 7.312 g cm⁻³
- Energy above the most stable polymorph in this dataset: 10.4 kJ per mole of atoms
- Calculated volume: 26.05 Å³/atom
- Magnetic moment: 0.0 μB/f.u.

The structure in POSCAR format:
```
La2RuBr
1.0
3.5297 0.1540 0.0000
-0.4961 3.4981 0.0000
0.0000 0.0000 8.3862
Ru Br La
1 1 2
Direct
0.5000 0.5000 0.2500 Ru
0.5000 0.5000 0.7500 Br
0.0000 0.0000 0.0397 La
0.0000 0.0000 0.4603 La
```



No. 3
Here is a relaxed Mg2TeAs crystal from the Alexandria database. Energies are from GGA-PBE.

- ρ: 4.350 g cm⁻³
- Energy above the most stable polymorph in this dataset: 4.7 kJ per mole of atoms
- Calculated volume: 23.97 Å³/atom
- Magnetic moment: 0.0 μB/f.u.

The structure in POSCAR format:
```
Mg2TeAs
1.0
-4.4070 3.5636 -1.2781
-1.9799 -3.0802 -1.7613
-1.7570 -0.8999 3.5490
As Mg Te
1 2 1
Direct
0.5000 0.8744 0.8753 As
0.0000 0.8758 0.8746 Mg
0.5000 0.3741 0.3755 Mg
0.0000 0.3758 0.3746 Te
```



No. 4
Here is a relaxed NdTh2Al crystal from the Alexandria database. Energies are from GGA-PBE.

- ρ: 8.814 g cm⁻³
- Energy above the most stable polymorph in this dataset: 28.7 kJ per mole of atoms
- Calculated volume: 29.92 Å³/atom
- Magnetic moment: 0.0 μB/f.u.
- Energy of formation: 0.186 eV/atom

The structure in POSCAR format:
```
NdTh2Al
1.0
-1.2065 -3.1628 -0.2523
1.5631 -2.2588 -1.9944
7.0157 -5.1735 8.4692
Nd Al Th
1 1 2
Direct
0.0000 0.0000 0.0000 Nd
0.5000 0.5000 0.5000 Al
0.0950 0.0950 0.7150 Th
0.9050 0.9050 0.2850 Th
```



No. 5
Here is a relaxed LiCaNb3 crystal from the Alexandria database. Energies are from GGA-PBE.

- ρ: 5.313 g cm⁻³
- Energy above the most stable polymorph in this dataset: 0.0 kJ per mole of atoms
- Calculated volume: 20.36 Å³/atom
- Magnetic moment: 0.0 μB/f.u.
- Energy of formation: 1.177 eV/atom

The structure in POSCAR format:
```
LiCaNb3
1.0
-4.4395 -1.3258 -0.5791
0.0272 -1.9450 4.2449
-1.4465 4.0326 1.8570
Nb Ca Li
3 1 1
Direct
0.0000 0.5000 0.0000 Nb
0.0000 0.0000 0.5000 Nb
0.5000 0.0000 0.0000 Nb
0.5000 0.5000 0.5000 Ca
0.0000 0.0000 0.0000 Li
```



No. 6
Here is a relaxed AcEuTlI crystal from the Alexandria database. Energies are from GGA-PBE.

- VASP energy: -5.14 eV per atom
- ρ: 8.465 g cm⁻³
- Calculated volume: 34.83 Å³/atom
- Magnetic moment: 7.2 μB/f.u.

The structure in POSCAR format:
```
AcEuTlI
1.0
-4.0518 3.5936 2.1286
-5.5621 -0.6145 -1.5960
-3.9220 -1.9729 3.8194
Eu I Ac Tl
1 1 1 1
Direct
0.2500 0.2500 0.2500 Eu
0.5000 0.5000 0.5000 I
0.7500 0.7500 0.7500 Ac
0.0000 0.0000 0.0000 Tl
```



No. 7
Here is a relaxed CsCuN crystal from the Alexandria database. Energies are from GGA-PBE.

- ρ: 4.696 g cm⁻³
- Energy above the most stable polymorph in this dataset: 16.2 kJ per mole of atoms
- Calculated volume: 24.81 Å³/atom
- Magnetic moment: 0.0 μB/f.u.

The structure in POSCAR format:
```
CsCuN
1.0
-2.5595 1.8603 1.9286
0.0635 -2.6242 2.6155
7.8359 5.3811 5.2086
Cs Cu N
2 2 2
Direct
0.0000 0.5000 0.7569 Cs
0.5000 0.0000 0.2431 Cs
0.0000 0.0000 0.5000 Cu
0.5000 0.5000 0.5000 Cu
0.0000 0.5000 0.4166 N
0.5000 0.0000 0.5834 N
```



No. 8
Here is a relaxed PmGa2Au3 crystal from the Alexandria database. Energies are from GGA-PBE.

- ρ: 11.928 g cm⁻³
- Energy above the most stable polymorph in this dataset: 0.0 kJ per mole of atoms
- Calculated volume: 20.31 Å³/atom
- Magnetic moment: 0.0 μB/f.u.
- Energy of formation: -0.552 eV/atom

The structure in POSCAR format:
```
PmGa2Au3
1.0
4.2711 0.0000 0.0000
-2.1356 8.1458 -2.6424
0.0000 0.0820 10.4815
Pm Ga Au
3 6 9
Direct
0.1529 0.3058 0.6918 Pm
0.8471 0.6942 0.3082 Pm
0.0000 0.0000 0.0000 Pm
0.2017 0.4034 0.1206 Ga
0.7983 0.5966 0.8794 Ga
0.4686 0.9373 0.2265 Ga
0.5314 0.0627 0.7735 Ga
0.3594 0.7187 0.5498 Ga
0.6406 0.2813 0.4502 Ga
0.0435 0.0870 0.3378 Au
0.9565 0.9130 0.6622 Au
0.2206 0.4411 0.3763 Au
0.7794 0.5589 0.6237 Au
0.6169 0.2339 0.1820 Au
0.3831 0.7661 0.8180 Au
0.5000 0.0000 0.5000 Au
0.3315 0.6629 0.0495 Au
0.6685 0.3371 0.9505 Au
```



No. 9
Here is a relaxed Tb4NiTe crystal from the Alexandria database. Energies are from GGA-PBE.

- ρ: 8.657 g cm⁻³
- Energy above the most stable polymorph in this dataset: 0.0 kJ per mole of atoms
- Calculated volume: 26.28 Å³/atom
- Magnetic moment: 0.0 μB/f.u.

The structure in POSCAR format:
```
Tb4NiTe
1.0
3.8667 0.0000 0.0000
0.0000 8.3391 0.0000
0.0000 0.0000 19.5586
Tb Ni Te
16 4 4
Direct
0.7500 0.8661 0.6496 Tb
0.2500 0.1339 0.3504 Tb
0.2500 0.6339 0.1496 Tb
0.7500 0.3661 0.8504 Tb
0.7500 0.8521 0.4516 Tb
0.2500 0.1479 0.5484 Tb
0.2500 0.6479 0.9515 Tb
0.7500 0.3521 0.0484 Tb
0.7500 0.0246 0.9314 Tb
0.2500 0.9754 0.0686 Tb
0.2500 0.4754 0.4314 Tb
0.7500 0.5246 0.5686 Tb
0.7500 0.9555 0.2183 Tb
0.2500 0.0445 0.7817 Tb
0.2500 0.5445 0.7183 Tb
0.7500 0.4555 0.2817 Tb
0.7500 0.2271 0.4480 Ni
0.2500 0.7729 0.5520 Ni
0.2500 0.2729 0.9480 Ni
0.7500 0.7271 0.0520 Ni
0.7500 0.7468 0.8155 Te
0.2500 0.2532 0.1845 Te
0.2500 0.7532 0.3155 Te
0.7500 0.2468 0.6845 Te
```



No. 10
Here is a relaxed DyScTl6 crystal from the Alexandria database. Energies are from GGA-PBE.

- ρ: 11.300 g cm⁻³
- Calculated volume: 26.34 Å³/atom
- Magnetic moment: 0.0 μB/f.u.
- Energy of formation: -0.164 eV/atom

The structure in POSCAR format:
```
DyScTl6
1.0
4.7262 0.0000 0.0000
0.0000 4.7262 0.0000
0.0000 0.0000 9.4327
Dy Sc Tl
1 1 6
Direct
0.0000 0.0000 0.0000 Dy
0.0000 0.0000 0.5000 Sc
0.5000 0.5000 0.0000 Tl
0.5000 0.5000 0.5000 Tl
0.5000 0.0000 0.2557 Tl
0.5000 0.0000 0.7443 Tl
0.0000 0.5000 0.2557 Tl
0.0000 0.5000 0.7443 Tl
```



No. 11
Here is a relaxed La2SeCl3 crystal from the Alexandria database. Energies are from GGA-PBE.

- VASP energy: -5.27 eV per atom
- ρ: 3.886 g cm⁻³
- Calculated volume: 32.98 Å³/atom
- Magnetic moment: 0.9 μB/f.u.

The structure in POSCAR format:
```
La2SeCl3
1.0
4.3655 0.0000 0.0000
2.1827 8.5671 -0.2756
2.1827 1.8124 10.5240
La Se Cl
4 2 6
Direct
0.8509 0.4342 0.8641 La
0.1491 0.5658 0.1359 La
0.6088 0.2339 0.5484 La
0.3912 0.7661 0.4516 La
0.4017 0.5215 0.6752 Se
0.5983 0.4785 0.3248 Se
0.0562 0.1565 0.7312 Cl
0.9438 0.8435 0.2688 Cl
0.6480 0.7214 0.9826 Cl
0.3520 0.2786 0.0174 Cl
0.7617 0.8779 0.5988 Cl
0.2383 0.1221 0.4012 Cl
```



No. 12
Here is a relaxed SrAl3Ge crystal from the Alexandria database. Energies are from GGA-PBE.

- ρ: 3.631 g cm⁻³
- Energy above the most stable polymorph in this dataset: 0.0 kJ per mole of atoms
- Calculated volume: 22.06 Å³/atom
- Magnetic moment: 0.0 μB/f.u.
- Energy of formation: -0.267 eV/atom

The structure in POSCAR format:
```
SrAl3Ge
1.0
4.2219 -0.0063 1.4700
-0.5087 4.1852 1.4722
0.1770 0.1923 6.3821
Sr Al Ge
1 3 1
Direct
0.4045 0.2080 0.8969 Sr
0.6535 0.9544 0.4007 Al
0.1509 0.4570 0.4004 Al
0.7816 0.5853 0.1430 Al
0.0173 0.8205 0.6701 Ge
```